# 1
Computed, not measured: crystalline Bi3SbAs at its relaxed geometry at the PBE-GGA level of DFT.

a = 5.7972 Å, b = 5.7972 Å, c = 5.7972 Å
α = 90.00°, β = 90.00°, γ = 90.00°
Space group Pm-3m (No. 221)
Unique sites:
Bi 0.0000 0.0000 0.5000 x3
Sb 0.0000 0.0000 0.0000 x1
As 0.5000 0.5000 0.5000 x1

Summary:
Energy above the most stable polymorph in this dataset = 2.14 eV/f.u.
Formation energy without anion corrections = 1007 meV per atom
Theoretical density = 7.02 g/cm³
Total magnetization = 0.000 μB/cell

=====

# 2
Computed, not measured: crystalline AsPbCl3 at its relaxed geometry at the PBE-GGA level of DFT.

a = 5.5643 Å, b = 5.5643 Å, c = 5.5643 Å
α = 90.00°, β = 90.00°, γ = 90.00°
Space group Pm-3m (No. 221)
Unique sites:
As 0.0000 0.0000 0.0000 x1
Pb 0.5000 0.5000 0.5000 x1
Cl 0.0000 0.5000 0.5000 x3

Summary:
Energy above the most stable polymorph in this dataset = 0.42 eV/f.u.
Formation energy without anion corrections = -121 meV per atom
Theoretical density = 3.74 g/cm³
Total magnetization = 2.278 μB/cell

=====

# 3
Computed, not measured: crystalline Sm6Ga2Ge at its relaxed geometry at the PBE-GGA level of DFT.

a = 9.8406 Å, b = 9.8649 Å, c = 10.4247 Å
α = 90.00°, β = 90.00°, γ = 90.00°
Space group Immm (No. 71)
Unique sites:
Sm 0.0000 0.2088 0.1712 x8
Sm 0.1747 0.2361 0.5000 x8
Sm 0.1987 0.5000 0.2463 x8
Ga 0.0000 0.0000 0.3779 x4
Ga 0.1442 0.0000 0.0000 x4
Ge 0.0000 0.5000 0.0000 x2
Ge 0.0000 0.5000 0.5000 x2

Summary:
Theoretical density = 7.31 g/cm³
Formation energy = -0.4318 eV per atom
Total magnetization = 0.000 μB/cell

=====

# 4
Computed, not measured: crystalline Dy8Se3S3N at its relaxed geometry at the PBE-GGA level of DFT.

a = 7.8085 Å, b = 7.8085 Å, c = 19.6081 Å
α = 90.00°, β = 90.00°, γ = 120.00°
Space group R-3m (No. 166, hexagonal axes)
Unique sites:
Dy 0.0000 0.0000 0.2419 x6
Dy 0.0300 0.5150 0.2372 x18
Se 0.0000 0.5000 0.0000 x9
S 0.0000 0.5000 0.5000 x9
N 0.0000 0.0000 0.5000 x3

Summary:
Formation energy without anion corrections = -1692 meV per atom
Theoretical density = 7.92 g/cm³
Total magnetization = 0.000 μB/cell

=====

# 5
Computed, not measured: crystalline InRhSeN2 at its relaxed geometry at the PBE-GGA level of DFT.

a = 3.9149 Å, b = 3.9149 Å, c = 5.4115 Å
α = 90.00°, β = 90.00°, γ = 90.00°
Space group P4/mmm (No. 123)
Unique sites:
In 0.0000 0.0000 0.0000 x1
Rh 0.5000 0.5000 0.5000 x1
Se 0.5000 0.5000 0.0000 x1
N 0.0000 0.5000 0.5000 x2

Summary:
Energy above the most stable polymorph in this dataset = 0.00 eV/f.u.
Formation energy without anion corrections = 868 meV per atom
Theoretical density = 6.50 g/cm³
Total magnetization = 0.870 μB/cell

=====

# 6
Computed, not measured: crystalline Ce2Cd3Pb3 at its relaxed geometry at the PBE-GGA level of DFT.

a = 4.6025 Å, b = 4.7369 Å, c = 9.9321 Å
α = 90.00°, β = 90.00°, γ = 90.00°
Space group Pmmm (No. 47)
Unique sites:
Ce 0.0000 0.0000 0.2437 x2
Cd 0.0000 0.5000 0.0000 x1
Cd 0.0000 0.5000 0.5000 x1
Cd 0.5000 0.0000 0.5000 x1
Pb 0.5000 0.0000 0.0000 x1
Pb 0.5000 0.5000 0.2624 x2

Summary:
Theoretical density = 9.50 g/cm³
Formation energy = -0.3176 eV per atom
Total magnetization = 1.820 μB/cell

=====

# 7
Computed, not measured: crystalline NbS2Br2 at its relaxed geometry at the PBE-GGA level of DFT.

a = 6.6491 Å, b = 6.6531 Å, c = 8.0749 Å
α = 90.05°, β = 111.12°, γ = 119.29°
Space group P-1 (No. 2)
Unique sites:
Nb 0.1264 0.3740 0.0001 x2
S 0.1327 0.5516 0.2776 x2
S 0.2039 0.7388 0.8808 x2
Br 0.2283 0.0747 0.2110 x2
Br 0.3631 0.3332 0.7890 x2

Summary:
Formation energy without anion corrections = -843 meV per atom
Theoretical density = 3.71 g/cm³
Total magnetization = 0.000 μB/cell

=====

# 8
Computed, not measured: crystalline SrHoN at its relaxed geometry at the PBE-GGA level of DFT.

a = 13.1657 Å, b = 3.5600 Å, c = 6.1624 Å
α = 90.00°, β = 90.00°, γ = 90.00°
Space group Amm2 (No. 38)
Unique sites:
Sr 0.1125 0.0000 0.0000 x4
Ho 0.3892 0.0000 0.3464 x4
N 0.0000 0.0000 0.3334 x2
N 0.5000 0.0000 0.0137 x2

Summary:
Formation energy without anion corrections = -434 meV per atom
Theoretical density = 6.13 g/cm³
Total magnetization = 2.320 μB/cell

=====

# 9
Computed, not measured: crystalline AcLaAl at its relaxed geometry at the PBE-GGA level of DFT.

a = 7.6133 Å, b = 7.6133 Å, c = 7.6133 Å
α = 90.00°, β = 90.00°, γ = 90.00°
Space group F-43m (No. 216)
Unique sites:
Ac 0.0000 0.0000 0.0000 x4
La 0.0000 0.0000 0.5000 x4
Al 0.2500 0.2500 0.7500 x4

Summary:
Energy above the most stable polymorph in this dataset = 0.39 eV/f.u.
Theoretical density = 5.91 g/cm³
Formation energy = -0.0469 eV per atom
Total magnetization = 0.001 μB/cell

=====

# 10
Computed, not measured: crystalline TbTcClO4 at its relaxed geometry at the PBE-GGA level of DFT.

a = 10.3802 Å, b = 7.1856 Å, c = 6.8936 Å
α = 90.00°, β = 104.96°, γ = 90.00°
Space group C2/m (No. 12)
Unique sites:
Tb 0.2184 0.0000 0.0993 x4
Tc 0.1343 0.5000 0.2820 x4
Cl 0.0099 0.0000 0.7658 x4
O 0.0400 0.5000 0.7860 x4
O 0.1992 0.3178 0.1458 x8
O 0.2166 0.5000 0.5370 x4

Summary:
Formation energy without anion corrections = -2073 meV per atom
Theoretical density = 4.77 g/cm³
Total magnetization = 4.023 μB/cell

=====

# 11
Computed, not measured: crystalline Sr3Li at its relaxed geometry at the PBE-GGA level of DFT.

a = 8.9261 Å, b = 8.9383 Å, c = 4.7582 Å
α = 90.00°, β = 90.00°, γ = 90.00°
Space group Cmmm (No. 65)
Unique sites:
Sr 0.0000 0.0000 0.0000 x2
Sr 0.2500 0.2500 0.5000 x4
Li 0.0000 0.5000 0.0000 x2

Summary:
Energy above the most stable polymorph in this dataset = 0.13 eV/f.u.
Theoretical density = 2.36 g/cm³
Formation energy = 0.0731 eV per atom
Total magnetization = 0.000 μB/cell

=====

# 12
Computed, not measured: crystalline ZrNi2Ag at its relaxed geometry at the PBE-GGA level of DFT.

a = 6.2868 Å, b = 6.2868 Å, c = 6.2868 Å
α = 90.00°, β = 90.00°, γ = 90.00°
Space group F-43m (No. 216)
Unique sites:
Zr 0.0000 0.0000 0.0000 x4
Ni 0.0000 0.0000 0.5000 x4
Ni 0.2500 0.2500 0.7500 x4
Ag 0.2500 0.2500 0.2500 x4

Summary:
Energy above the most stable polymorph in this dataset = 0.80 eV/f.u.
Theoretical density = 8.46 g/cm³
Formation energy = 0.0080 eV per atom
Total magnetization = 0.002 μB/cell

=====

# 13
Computed, not measured: crystalline Sm6Ge3N2 at its relaxed geometry at the PBE-GGA level of DFT.

a = 4.7280 Å, b = 4.7280 Å, c = 24.2080 Å
α = 90.00°, β = 90.00°, γ = 90.00°
Space group I4/mmm (No. 139)
Unique sites:
Sm 0.0000 0.0000 0.1979 x4
Sm 0.0000 0.5000 0.0829 x8
Ge 0.0000 0.0000 0.3256 x4
Ge 0.0000 0.0000 0.5000 x2
N 0.0000 0.0000 0.1030 x4

Summary:
Formation energy without anion corrections = -978 meV per atom
Theoretical density = 7.05 g/cm³
Total magnetization = 0.000 μB/cell

=====

# 14
Computed, not measured: crystalline Tl4In10Ga at its relaxed geometry at the PBE-GGA level of DFT.

a = 10.0252 Å, b = 10.0252 Å, c = 8.9468 Å
α = 90.00°, β = 90.00°, γ = 90.00°
Space group I4/m (No. 87)
Unique sites:
Tl 0.0460 0.7623 0.0000 x8
In 0.0000 0.5000 0.2500 x4
In 0.1117 0.2114 0.3163 x16
Ga 0.0000 0.0000 0.5000 x2

Summary:
Theoretical density = 7.52 g/cm³
Formation energy = 0.0928 eV per atom
Total magnetization = 0.000 μB/cell

=====

# 15
Computed, not measured: crystalline La4SbRuI2 at its relaxed geometry at the PBE-GGA level of DFT.

a = 8.0090 Å, b = 4.3573 Å, c = 8.3694 Å
α = 90.00°, β = 106.57°, γ = 90.00°
Space group P2/m (No. 10)
Unique sites:
La 0.2076 0.0000 0.1937 x2
La 0.2255 0.5000 0.8072 x2
Sb 0.5000 0.0000 0.0000 x1
Ru 0.0000 0.5000 0.0000 x1
I 0.0000 0.0000 0.5000 x1
I 0.5000 0.5000 0.5000 x1

Summary:
Formation energy without anion corrections = -983 meV per atom
Theoretical density = 6.12 g/cm³
Total magnetization = 0.000 μB/cell

=====

# 16
Computed, not measured: crystalline Ba3USi2N6 at its relaxed geometry at the PBE-GGA level of DFT.

a = 5.9767 Å, b = 5.9767 Å, c = 7.2903 Å
α = 90.00°, β = 90.00°, γ = 120.00°
Space group P-3m1 (No. 164)
Unique sites:
Ba 0.0000 0.0000 0.0000 x1
Ba 0.3333 0.6667 0.6908 x2
U 0.0000 0.0000 0.5000 x1
Si 0.3333 0.6667 0.2601 x2
N 0.1722 0.3445 0.3173 x6

Summary:
Formation energy without anion corrections = -977 meV per atom
Theoretical density = 5.82 g/cm³
Total magnetization = 0.312 μB/cell

=====

# 17
Computed, not measured: crystalline NpUCoIr at its relaxed geometry at the PBE-GGA level of DFT.

a = 6.4099 Å, b = 6.4099 Å, c = 6.4099 Å
α = 90.00°, β = 90.00°, γ = 90.00°
Space group F-43m (No. 216)
Unique sites:
Np 0.0000 0.0000 0.0000 x4
U 0.2500 0.2500 0.7500 x4
Co 0.2500 0.2500 0.2500 x4
Ir 0.0000 0.0000 0.5000 x4

Summary:
Theoretical density = 18.31 g/cm³
Formation energy = -0.3764 eV per atom
Total magnetization = 12.155 μB/cell

=====

# 18
Computed, not measured: crystalline SrHf2VBi at its relaxed geometry at the PBE-GGA level of DFT.

a = 4.8969 Å, b = 4.8969 Å, c = 5.8677 Å
α = 90.00°, β = 90.00°, γ = 90.00°
Space group P4/mmm (No. 123)
Unique sites:
Sr 0.0000 0.0000 0.0000 x1
Hf 0.0000 0.5000 0.5000 x2
V 0.0000 0.0000 0.5000 x1
Bi 0.5000 0.5000 0.0000 x1

Summary:
Theoretical density = 8.31 g/cm³
Formation energy = 0.6647 eV per atom
Total magnetization = 0.004 μB/cell